# V3CuRe

V3CuRe after structural relaxation (PBE, Alexandria via LeMat-Bulk).

Unit cell a=4.3016 b=4.3016 c=4.3016 alpha=90.00 beta=90.00 gamma=90.00
Positions (direct):
Re 0.5000 0.5000 0.5000
Cu 0.0000 0.0000 0.0000
V 0.0000 0.5000 0.0000
V 0.0000 0.0000 0.5000
V 0.5000 0.0000 0.0000

Properties
crystal system = cubic
E_form = 6.97 eV per formula unit
total magnetic moment = 0.89 μB per cell
excess energy over the best structure of this formula in the dataset = 0.323 eV/f.u.